# PBEsol YZr4Br, optimized geometry
# ρ: 6.00 g cm⁻³
# Formation energy from raw total energies: 0.364 eV/atom
# Spin magnetization: 0.00 μB/f.u.
data_YZr4Br
_chemical_formula_sum 'Y4 Zr16 Br4'
_space_group_name_H-M_alt 'F -4 3 m'
_space_group_IT_number 216
_space_group_name_Hall 'F -4 2 3'
_cell_length_a 8.392
_cell_length_b 8.392
_cell_length_c 8.392
_cell_angle_alpha 90.00
_cell_angle_beta 90.00
_cell_angle_gamma 90.00
loop_
_atom_site_label
_atom_site_type_symbol
_atom_site_fract_x
_atom_site_fract_y
_atom_site_fract_z
_atom_site_occupancy
Y1 Y 0.000 0.000 0.000 1
Zr1 Zr 0.130 0.130 0.630 1
Br1 Br 0.250 0.250 0.250 1



# PBEsol PtS2, optimized geometry
# ρ: 8.27 g cm⁻³
# Formation energy from raw total energies: -0.417 eV/atom
# Spin magnetization: 0.00 μB/f.u.
data_PtS2
_chemical_formula_sum 'Pt1 S2'
_space_group_name_H-M_alt 'P -3 m 1'
_space_group_IT_number 164
_space_group_name_Hall '-P 3 2"'
_cell_length_a 3.5685
_cell_length_b 3.5685
_cell_length_c 4.7172
_cell_angle_alpha 90.00
_cell_angle_beta 90.00
_cell_angle_gamma 120.00
loop_
_atom_site_label
_atom_site_type_symbol
_atom_site_fract_x
_atom_site_fract_y
_atom_site_fract_z
_atom_site_occupancy
Pt1 Pt 0.0000 0.0000 0.0000 1
S1 S 0.3333 0.6667 0.7466 1



# PBEsol ZrCoSi, optimized geometry
# ρ: 6.88 g cm⁻³
# Formation energy from raw total energies: -0.935 eV/atom
# Spin magnetization: 0.00 μB/f.u.
data_ZrCoSi
_chemical_formula_sum 'Zr4 Co4 Si4'
_space_group_name_H-M_alt 'P n m a'
_space_group_IT_number 62
_cell_length_a 6.409
_cell_length_b 3.820
_cell_length_c 7.033
_cell_angle_alpha 90.00
_cell_angle_beta 90.00
_cell_angle_gamma 90.00
loop_
_space_group_symop_operation_xyz
'x,y,z'
'-x,-y,-z'
'-x+1/2,-y,z+1/2'
'x+1/2,y,-z+1/2'
'x+1/2,-y+1/2,-z+1/2'
'-x+1/2,y+1/2,z+1/2'
'-x,y+1/2,-z'
'x,-y+1/2,z'
loop_
_atom_site_label
_atom_site_type_symbol
_atom_site_fract_x
_atom_site_fract_y
_atom_site_fract_z
_atom_site_occupancy
Zr1 Zr 0.006 0.250 0.194 1
Co1 Co 0.144 0.250 0.570 1
Si1 Si 0.217 0.750 0.396 1



# PBEsol Na2BiAu, optimized geometry
# ρ: 7.20 g cm⁻³
# Energy of formation from the pure elements: -0.341 eV/atom
# Spin magnetization: 0.00 μB/f.u.
data_Na2BiAu
_chemical_formula_sum 'Na8 Bi4 Au4'
_space_group_name_H-M_alt 'C m c m'
_space_group_IT_number 63
_space_group_name_Hall '-C 2c 2'
_cell_length_a 9.456
_cell_length_b 7.577
_cell_length_c 5.823
_cell_angle_alpha 90.00
_cell_angle_beta 90.00
_cell_angle_gamma 90.00
loop_
_atom_site_label
_atom_site_type_symbol
_atom_site_fract_x
_atom_site_fract_y
_atom_site_fract_z
_atom_site_occupancy
Na1 Na 0.180 0.178 0.250 1
Bi1 Bi 0.000 0.189 0.750 1
Au1 Au 0.000 0.500 0.000 1



# PBEsol Pr3Al, optimized geometry
# ρ: 6.54 g cm⁻³
# Energy of formation from the pure elements: -0.186 eV/atom
# Spin magnetization: 0.00 μB/f.u.
data_Pr3Al
_chemical_formula_sum 'Pr3 Al1'
_space_group_name_H-M_alt 'P m -3 m'
_space_group_IT_number 221
_space_group_name_Hall '-P 4 2 3'
_cell_length_a 4.851
_cell_length_b 4.851
_cell_length_c 4.851
_cell_angle_alpha 90.00
_cell_angle_beta 90.00
_cell_angle_gamma 90.00
loop_
_atom_site_label
_atom_site_type_symbol
_atom_site_fract_x
_atom_site_fract_y
_atom_site_fract_z
_atom_site_occupancy
Pr1 Pr 0.000 0.000 0.500 1
Al1 Al 0.500 0.500 0.500 1



# PBEsol LiCuRh, optimized geometry
# E above lowest polymorph: 0.027 eV/atom
# ρ: 7.53 g cm⁻³
# Energy of formation from the pure elements: 0.040 eV/atom
# Spin magnetization: 0.00 μB/f.u.
data_LiCuRh
_chemical_formula_sum 'Li4 Cu4 Rh4'
_space_group_name_H-M_alt 'F m m 2'
_space_group_IT_number 42
_space_group_name_Hall 'F 2 -2'
_cell_length_a 2.664
_cell_length_b 4.391
_cell_length_c 13.075
_cell_angle_alpha 90.00
_cell_angle_beta 90.00
_cell_angle_gamma 90.00
loop_
_atom_site_label
_atom_site_type_symbol
_atom_site_fract_x
_atom_site_fract_y
_atom_site_fract_z
_atom_site_occupancy
Li1 Li 0.000 0.000 0.000 1
Cu1 Cu 0.000 0.000 0.667 1
Rh1 Rh 0.000 0.000 0.334 1



# PBEsol Zn2AgAu, optimized geometry
# E above lowest polymorph: 0.057 eV/atom
# ρ: 11.75 g cm⁻³
# Energy of formation from the pure elements: -0.113 eV/atom
# Spin magnetization: 0.00 μB/f.u.
data_Zn2AgAu
_chemical_formula_sum 'Zn4 Ag2 Au2'
_space_group_name_H-M_alt 'C 1 2/m 1'
_space_group_IT_number 12
_cell_length_a 8.900
_cell_length_b 2.829
_cell_length_c 4.979
_cell_angle_alpha 90.00
_cell_angle_beta 100.70
_cell_angle_gamma 90.00
loop_
_space_group_symop_operation_xyz
'x,y,z'
'-x,-y,-z'
'-x,y,-z'
'x,-y,z'
'x+1/2,y+1/2,z'
'-x+1/2,-y+1/2,-z'
'-x+1/2,y+1/2,-z'
'x+1/2,-y+1/2,z'
loop_
_atom_site_label
_atom_site_type_symbol
_atom_site_fract_x
_atom_site_fract_y
_atom_site_fract_z
_atom_site_occupancy
Zn1 Zn 0.249 0.000 0.248 1
Ag1 Ag 0.000 0.000 0.500 1
Au1 Au 0.000 0.500 0.000 1



# PBEsol RbLi3Ir, optimized geometry
# ρ: 4.24 g cm⁻³
# Energy of formation from the pure elements: 0.339 eV/atom
# Spin magnetization: 0.00 μB/f.u.
data_RbLi3Ir
_chemical_formula_sum 'Rb1 Li3 Ir1'
_space_group_name_H-M_alt 'P m -3 m'
_space_group_IT_number 221
_space_group_name_Hall '-P 4 2 3'
_cell_length_a 4.891
_cell_length_b 4.891
_cell_length_c 4.891
_cell_angle_alpha 90.00
_cell_angle_beta 90.00
_cell_angle_gamma 90.00
loop_
_atom_site_label
_atom_site_type_symbol
_atom_site_fract_x
_atom_site_fract_y
_atom_site_fract_z
_atom_site_occupancy
Rb1 Rb 0.000 0.000 0.000 1
Li1 Li 0.000 0.500 0.500 1
Ir1 Ir 0.500 0.500 0.500 1



# PBEsol TiIrF2, optimized geometry
# ρ: 7.86 g cm⁻³
# Formation energy from raw total energies: -1.525 eV/atom
# Spin magnetization: 0.60 μB/f.u.
data_TiIrF2
_chemical_formula_sum 'Ti3 Ir3 F6'
_space_group_name_H-M_alt 'R -3 m'
_space_group_IT_number 166
_space_group_name_Hall '-R 3 2"'
_cell_length_a 2.6235
_cell_length_b 2.6235
_cell_length_c 29.5512
_cell_angle_alpha 90.00
_cell_angle_beta 90.00
_cell_angle_gamma 120.00
loop_
_atom_site_label
_atom_site_type_symbol
_atom_site_fract_x
_atom_site_fract_y
_atom_site_fract_z
_atom_site_occupancy
Ti1 Ti 0.0000 0.0000 0.0000 1
Ir1 Ir 0.0000 0.0000 0.5000 1
F1 F 0.0000 0.0000 0.3803 1



# PBEsol Zn8Rh, optimized geometry
# ρ: 8.52 g cm⁻³
# Energy of formation from the pure elements: -0.135 eV/atom
# Spin magnetization: 0.00 μB/f.u.
data_Zn8Rh
_chemical_formula_sum 'Zn16 Rh2'
_space_group_name_H-M_alt 'I 4/m m m'
_space_group_IT_number 139
_space_group_name_Hall '-I 4 2'
_cell_length_a 8.184
_cell_length_b 8.184
_cell_length_c 3.646
_cell_angle_alpha 90.00
_cell_angle_beta 90.00
_cell_angle_gamma 90.00
loop_
_atom_site_label
_atom_site_type_symbol
_atom_site_fract_x
_atom_site_fract_y
_atom_site_fract_z
_atom_site_occupancy
Zn1 Zn 0.000 0.332 0.000 1
Zn2 Zn 0.166 0.166 0.500 1
Rh1 Rh 0.000 0.000 0.000 1



# PBEsol CsTl2Ga2, optimized geometry
# ρ: 7.91 g cm⁻³
# Energy of formation from the pure elements: -0.058 eV/atom
# Spin magnetization: 0.00 μB/f.u.
data_CsTl2Ga2
_chemical_formula_sum 'Cs2 Tl4 Ga4'
_space_group_name_H-M_alt 'I 4/m m m'
_space_group_IT_number 139
_space_group_name_Hall '-I 4 2'
_cell_length_a 4.974
_cell_length_b 4.974
_cell_length_c 11.553
_cell_angle_alpha 90.00
_cell_angle_beta 90.00
_cell_angle_gamma 90.00
loop_
_atom_site_label
_atom_site_type_symbol
_atom_site_fract_x
_atom_site_fract_y
_atom_site_fract_z
_atom_site_occupancy
Cs1 Cs 0.000 0.000 0.000 1
Tl1 Tl 0.000 0.500 0.250 1
Ga1 Ga 0.000 0.000 0.387 1



# PBEsol FeNiAs4, optimized geometry
# ρ: 7.50 g cm⁻³
# Energy of formation from the pure elements: -0.317 eV/atom
# Spin magnetization: 0.59 μB/f.u.
data_FeNiAs4
_chemical_formula_sum 'Fe1 Ni1 As4'
_space_group_name_H-M_alt 'P 1 2/m 1'
_space_group_IT_number 10
_cell_length_a 5.119
_cell_length_b 3.052
_cell_length_c 5.869
_cell_angle_alpha 90.00
_cell_angle_beta 90.06
_cell_angle_gamma 90.00
loop_
_space_group_symop_operation_xyz
'x,y,z'
'-x,-y,-z'
'-x,y,-z'
'x,-y,z'
loop_
_atom_site_label
_atom_site_type_symbol
_atom_site_fract_x
_atom_site_fract_y
_atom_site_fract_z
_atom_site_occupancy
Fe1 Fe 0.000 0.000 0.000 1
Ni1 Ni 0.500 0.500 0.500 1
As1 As 0.183 0.000 0.360 1
As2 As 0.312 0.500 0.867 1



ρ of number 10 (Zn8Rh)?
8.52 g cm⁻³



Which value of ρ does entry 9 give?
7.86 g cm⁻³



What is the formula in the twelfth record?
FeNiAs4



What is the spin magnetization in the seventh record?
0.00 μB/f.u.